# 1
Ca2MgH2 after structural relaxation. Source: Alexandria via LeMat-Bulk, functional GGA-PBE.

**DFT total energy**: -14.0 eV/cell
**Mass density**: 1.74 g/cm³

Unit cell a=3.896 b=3.896 c=7.235 alpha=74.38 beta=74.38 gamma=90.00
Fractional coordinates of all 5 atoms:
H: 0.750 0.250 0.500
H: 0.250 0.750 0.500
Ca: 0.340 0.340 0.320
Ca: 0.660 0.660 0.680
Mg: 0.000 0.000 0.000


# 2
Sr2CoPtW after structural relaxation. Source: Alexandria via LeMat-Bulk, functional GGA-PBE.

**ΔE_f**: 1.13 eV per atom
**Mass density**: 6.89 g/cm³

Unit cell a=5.843 b=4.328 c=5.843 alpha=90.00 beta=90.00 gamma=90.00
Fractional coordinates of all 5 atoms:
Sr: 0.000 0.000 0.500
Sr: 0.500 0.000 0.000
Co: 0.000 0.500 0.000
W: 0.000 0.000 0.000
Pt: 0.500 0.500 0.500


# 3
MgOs after structural relaxation. Source: Alexandria via LeMat-Bulk, functional GGA-PBE.

**ΔE_f**: 0.12 eV per atom
**Mass density**: 9.67 g/cm³

Unit cell a=7.902 b=7.902 c=4.087 alpha=90.00 beta=90.00 gamma=120.00
Fractional coordinates of all 12 atoms:
Mg: 0.829 0.658 0.250
Mg: 0.171 0.829 0.750
Mg: 0.342 0.171 0.250
Mg: 0.171 0.342 0.750
Mg: 0.829 0.171 0.250
Mg: 0.658 0.829 0.750
Os: 0.442 0.884 0.250
Os: 0.558 0.442 0.750
Os: 0.116 0.558 0.250
Os: 0.558 0.116 0.750
Os: 0.442 0.558 0.250
Os: 0.884 0.442 0.750


# 4
FeHRh2 after structural relaxation. Source: Alexandria via LeMat-Bulk, functional GGA-PBE.

**DFT total energy**: -25.7 eV/cell
**Mass density**: 9.79 g/cm³

Unit cell a=2.756 b=2.756 c=5.866 alpha=90.00 beta=90.00 gamma=90.00
Fractional coordinates of all 4 atoms:
H: 0.500 0.500 0.000
Rh: 0.000 0.000 0.784
Rh: 0.000 0.000 0.216
Fe: 0.500 0.500 0.500


# 5
RbCuBiI6 after structural relaxation. Source: Alexandria via LeMat-Bulk, functional GGA-PBE.

**Formation energy from raw total energies**: -12.040 kcal/mol of atoms
**Mass density**: 4.40 g/cm³

Unit cell a=9.114 b=7.528 c=8.045 alpha=80.60 beta=74.25 gamma=52.75
Fractional coordinates of all 9 atoms:
Rb: 0.073 0.852 0.000
Cu: 0.323 0.355 0.500
Bi: 0.683 0.635 0.500
I: 0.995 0.350 0.206
I: 0.366 0.066 0.746
I: 0.653 0.352 0.795
I: 0.964 0.663 0.629
I: 0.374 0.662 0.370
I: 0.568 0.065 0.254


# 6
CsRb6AuO after structural relaxation. Source: Alexandria via LeMat-Bulk, functional GGA-PBE.

**Formation energy from raw total energies**: -8.142 kcal/mol of atoms
**Mass density**: 2.08 g/cm³

Unit cell a=8.332 b=8.332 c=11.392 alpha=90.00 beta=89.99 gamma=60.00
Fractional coordinates of all 9 atoms:
Cs: 0.000 0.000 0.000
Rb: 0.056 0.337 0.356
Rb: 0.337 0.056 0.644
Rb: 0.607 0.337 0.644
Rb: 0.056 0.607 0.644
Rb: 0.337 0.607 0.356
Rb: 0.607 0.056 0.356
Au: 0.667 0.667 0.500
O: 0.333 0.333 0.500


# 7
Tb8Tm2Zr after structural relaxation. Source: Alexandria via LeMat-Bulk, functional GGA-PBE.

**ΔE_f**: 0.05 eV per atom
**Mass density**: 8.41 g/cm³

Unit cell a=4.958 b=7.863 c=9.273 alpha=104.80 beta=105.50 gamma=90.00
Fractional coordinates of all 11 atoms:
Tb: 0.590 0.445 0.180
Tb: 0.321 0.089 0.642
Tb: 0.133 0.177 0.265
Tb: 0.044 0.736 0.089
Tb: 0.867 0.823 0.735
Tb: 0.679 0.911 0.358
Tb: 0.410 0.555 0.820
Tb: 0.956 0.264 0.911
Tm: 0.226 0.634 0.452
Tm: 0.774 0.366 0.548
Zr: 0.500 0.000 0.000


# 8
Sm6NiS5 after structural relaxation. Source: Alexandria via LeMat-Bulk, functional GGA-PBE.

**Formation energy from raw total energies**: -40.258 kcal/mol of atoms
**Mass density**: 6.75 g/cm³

Unit cell a=6.962 b=6.962 c=6.961 alpha=99.67 beta=99.67 gamma=119.88
Fractional coordinates of all 12 atoms:
Ni: 0.000 0.000 0.000
S: 0.829 0.171 0.500
S: 0.666 0.334 0.000
S: 0.500 0.500 0.500
S: 0.334 0.666 0.000
S: 0.171 0.829 0.500
Sm: 0.409 0.080 0.245
Sm: 0.920 0.591 0.755
Sm: 0.246 0.246 0.752
Sm: 0.754 0.754 0.248
Sm: 0.080 0.409 0.245
Sm: 0.591 0.920 0.755